[1]
This record from the Alexandria database describes an optimized crystal structure of KGd2Os. The functional is PBE-GGA.

Cell: 3.464 3.464 10.769 Å, 90.00 90.00 90.00°
Atoms (fractional coordinates):
Gd1 0.000 0.000 0.154
Os1 0.500 0.500 0.000
K1 0.500 0.500 0.500
Gd2 0.000 0.000 0.846

- E_tot: -40.5 eV for the cell shown
- N(E_F): 2.71 states/eV per cell
- Mass density: 6.99 Mg/m³
- DFT formation energy: -0.0070 eV per atom
- V: 32.313 A^3/atom

=====

[2]
This record from the Alexandria database describes an optimized crystal structure of KGd3Os. The functional is PBE-GGA.

Cell: 5.576 5.576 5.576 Å, 90.00 90.00 90.00°
Atoms (fractional coordinates):
K1 0.500 0.500 0.500
Gd1 0.000 0.000 0.500
Gd2 0.500 0.000 0.000
Gd3 0.000 0.500 0.000
Os1 0.000 0.000 0.000

- E_tot: -54.2 eV for the cell shown
- N(E_F): 5.73 states/eV per cell
- Mass density: 6.72 Mg/m³
- DFT formation energy: 0.0687 eV per atom
- V: 34.673 A^3/atom

=====

[3]
This record from the Alexandria database describes an optimized crystal structure of K3Gd3P4S16. The functional is PBE-GGA.

Cell: 10.001 10.001 14.994 Å, 88.75 88.75 72.11°
Atoms (fractional coordinates):
Gd1 0.253 0.486 0.510
S1 0.405 0.192 0.183
P1 0.334 0.036 0.137
S2 0.543 0.419 0.604
K1 0.607 0.973 0.335
K2 0.000 0.000 0.000
S3 0.840 0.474 0.669
S4 0.419 0.543 0.104
Gd2 0.486 0.253 0.010
S5 0.211 0.423 0.978
Gd3 0.514 0.747 0.990
S6 0.296 0.922 0.389
S7 0.526 0.160 0.831
P2 0.602 0.238 0.527
S8 0.160 0.526 0.331
K3 0.000 0.000 0.500
Gd4 0.747 0.514 0.490
S9 0.855 0.961 0.806
S10 0.078 0.704 0.111
S11 0.808 0.595 0.317
K4 0.393 0.027 0.665
S12 0.259 0.732 0.924
S13 0.947 0.679 0.499
S14 0.789 0.577 0.022
S15 0.732 0.259 0.424
P3 0.398 0.762 0.473
Gd5 0.251 0.749 0.250
S16 0.145 0.039 0.194
S17 0.039 0.145 0.694
S18 0.704 0.078 0.611
S19 0.741 0.268 0.076
P4 0.666 0.964 0.863
S20 0.679 0.947 0.999
Gd6 0.749 0.251 0.750
P5 0.964 0.666 0.363
S21 0.595 0.808 0.817
S22 0.423 0.211 0.478
S23 0.474 0.840 0.169
K5 0.973 0.607 0.835
P6 0.036 0.334 0.637
S24 0.053 0.321 0.501
K6 0.027 0.393 0.165
S25 0.961 0.855 0.306
S26 0.457 0.581 0.396
S27 0.192 0.405 0.683
S28 0.321 0.053 0.001
P7 0.762 0.398 0.973
S29 0.922 0.296 0.889
S30 0.577 0.789 0.522
S31 0.581 0.457 0.896
S32 0.268 0.741 0.576
P8 0.238 0.602 0.027

- E_tot: -323.1 eV for the cell shown
- Formation energy from raw total energies: -1.09 eV/atom
- Mass density: 2.85 Mg/m³
- V: 27.437 A^3/atom

=====

[4]
This record from the Alexandria database describes an optimized crystal structure of KGdPb4. The functional is PBE-GGA.

Cell: 6.553 6.553 6.553 Å, 60.00 60.00 60.00°
Atoms (fractional coordinates):
Pb1 0.626 0.626 0.122
Pb2 0.626 0.122 0.626
Pb3 0.122 0.626 0.626
Pb4 0.626 0.626 0.626
Gd1 0.000 0.000 0.000
K1 0.250 0.250 0.250

- E_tot: -30.9 eV for the cell shown
- N(E_F): 10.06 states/eV per cell
- Mass density: 8.55 Mg/m³
- DFT formation energy: -0.1482 eV per atom
- V: 33.169 A^3/atom

=====

[5]
This record from the Alexandria database describes an optimized crystal structure of KGdTlPb. The functional is PBE-GGA.

Cell: 5.652 5.652 5.652 Å, 60.00 60.00 60.00°
Atoms (fractional coordinates):
K1 0.250 0.250 0.250
Pb1 0.500 0.500 0.500
Tl1 0.000 0.000 0.000
Gd1 0.750 0.750 0.750

- E_tot: -21.8 eV for the cell shown
- N(E_F): 5.26 states/eV per cell
- Mass density: 7.91 Mg/m³
- DFT formation energy: -0.1460 eV per atom
- V: 31.916 A^3/atom

=====

[6]
This record from the Alexandria database describes an optimized crystal structure of KPr2Gd. The functional is PBE-GGA.

Cell: 6.015 6.015 6.014 Å, 60.00 60.00 60.00°
Atoms (fractional coordinates):
K1 0.000 0.000 0.000
Gd1 0.500 0.500 0.500
Pr1 0.750 0.750 0.750
Pr2 0.250 0.250 0.250

- E_tot: -22.9 eV for the cell shown
- N(E_F): 7.19 states/eV per cell
- Mass density: 5.16 Mg/m³
- DFT formation energy: 0.4640 eV per atom
- V: 38.464 A^3/atom

=====

[7]
This record from the Alexandria database describes an optimized crystal structure of KPrGd2. The functional is PBE-GGA.

Cell: 3.661 3.661 13.555 Å, 82.24 82.24 60.00°
Atoms (fractional coordinates):
Pr1 0.500 0.500 0.500
Gd1 0.905 0.905 0.285
K1 0.000 0.000 0.000
Gd2 0.095 0.095 0.715

- E_tot: -33.2 eV for the cell shown
- N(E_F): 6.62 states/eV per cell
- Mass density: 5.28 Mg/m³
- DFT formation energy: 0.2216 eV per atom
- V: 38.860 A^3/atom

=====

[8]
This record from the Alexandria database describes an optimized crystal structure of KGdPt4. The functional is PBE-GGA.

Cell: 5.485 5.485 5.485 Å, 60.00 60.00 60.00°
Atoms (fractional coordinates):
Pt1 0.625 0.625 0.625
Pt2 0.625 0.625 0.125
Pt3 0.625 0.125 0.625
K1 0.250 0.250 0.250
Pt4 0.125 0.625 0.625
Gd1 0.000 0.000 0.000

- E_tot: -43.4 eV for the cell shown
- N(E_F): 4.82 states/eV per cell
- Mass density: 13.90 Mg/m³
- DFT formation energy: -0.6790 eV per atom
- V: 19.445 A^3/atom

=====

[9]
This record from the Alexandria database describes an optimized crystal structure of KGd3Rh. The functional is PBE-GGA.

Cell: 5.595 5.595 5.595 Å, 90.00 90.00 90.00°
Atoms (fractional coordinates):
Gd1 0.000 0.000 0.500
Gd2 0.000 0.500 0.000
Rh1 0.000 0.000 0.000
Gd3 0.500 0.000 0.000
K1 0.500 0.500 0.500

- E_tot: -51.3 eV for the cell shown
- N(E_F): 10.72 states/eV per cell
- Mass density: 5.82 Mg/m³
- DFT formation energy: -0.1171 eV per atom
- V: 35.030 A^3/atom

=====

[10]
This record from the Alexandria database describes an optimized crystal structure of KGd2Ru. The functional is PBE-GGA.

Cell: 3.474 3.474 10.695 Å, 90.00 90.00 90.00°
Atoms (fractional coordinates):
K1 0.500 0.500 0.500
Ru1 0.500 0.500 0.000
Gd1 0.000 0.000 0.154
Gd2 0.000 0.000 0.846

- E_tot: -38.9 eV for the cell shown
- N(E_F): 3.03 states/eV per cell
- Mass density: 5.85 Mg/m³
- DFT formation energy: -0.0813 eV per atom
- V: 32.270 A^3/atom

=====

[11]
This record from the Alexandria database describes an optimized crystal structure of KGd3Ru. The functional is PBE-GGA.

Cell: 5.552 5.552 5.552 Å, 90.00 90.00 90.00°
Atoms (fractional coordinates):
Gd1 0.000 0.500 0.000
K1 0.500 0.500 0.500
Gd2 0.000 0.000 0.500
Ru1 0.000 0.000 0.000
Gd3 0.500 0.000 0.000

- E_tot: -52.5 eV for the cell shown
- N(E_F): 5.56 states/eV per cell
- Mass density: 5.94 Mg/m³
- DFT formation energy: 0.0198 eV per atom
- V: 34.232 A^3/atom

=====

[12]
This record from the Alexandria database describes an optimized crystal structure of KGdS2. The functional is PBE-GGA.

Cell: 7.732 7.732 7.732 Å, 30.78 30.78 30.78°
Atoms (fractional coordinates):
K1 0.000 0.000 0.000
Gd1 0.500 0.500 0.500
S1 0.234 0.234 0.234
S2 0.766 0.766 0.766

- E_tot: -31.0 eV for the cell shown
- Formation energy from raw total energies: -1.88 eV/atom
- N(E_F): 0.00 states/eV per cell
- Mass density: 4.03 Mg/m³
- V: 26.833 A^3/atom